{
  "formula": "FeCu2Ni2",
  "functional": "GGA-PBE",
  "state": "relaxed",
  "total_magnetization_mub_per_atom": 0.7610,
  "crystal_system": "tetragonal",
  "e_above_lowest_polymorph_mev_per_atom": 13,
  "e_tot_ev_per_atom": -5.403,
  "spacegroup": "P4/mbm",
  "lattice_angstrom": [[6.790, 0.000, 0.000], [0.000, 6.790, 0.000], [0.000, 0.000, 2.614]],
  "species": ["Fe", "Fe", "Cu", "Cu", "Cu", "Cu", "Ni", "Ni", "Ni", "Ni"],
  "fractional_positions": [[0.000, 0.000, 0.000], [0.500, 0.500, 0.000], [0.128, 0.372, 0.000], [0.372, 0.872, 0.000], [0.628, 0.128, 0.000], [0.872, 0.628, 0.000], [0.170, 0.670, 0.500], [0.330, 0.170, 0.500], [0.670, 0.830, 0.500], [0.830, 0.330, 0.500]]
}


{
  "formula": "TbSbAs",
  "functional": "GGA-PBE",
  "state": "relaxed",
  "total_magnetization_mub_per_atom": 0.0000,
  "crystal_system": "cubic",
  "e_form_raw_ev_per_atom": -0.533,
  "e_above_lowest_polymorph_mev_per_atom": 231,
  "e_tot_ev_per_atom": -5.000,
  "spacegroup": "P2_13",
  "lattice_angstrom": [[7.142, 0.000, 0.000], [0.000, 7.142, 0.000], [0.000, 0.000, 7.142]],
  "species": ["Tb", "Tb", "Tb", "Tb", "Sb", "Sb", "Sb", "Sb", "As", "As", "As", "As"],
  "fractional_positions": [[0.013, 0.013, 0.013], [0.487, 0.987, 0.513], [0.513, 0.487, 0.987], [0.987, 0.513, 0.487], [0.071, 0.571, 0.929], [0.429, 0.429, 0.429], [0.571, 0.929, 0.071], [0.929, 0.071, 0.571], [0.141, 0.859, 0.359], [0.359, 0.141, 0.859], [0.641, 0.641, 0.641], [0.859, 0.359, 0.141]]
}


{
  "formula": "LaPaRh",
  "functional": "GGA-PBE",
  "state": "relaxed",
  "total_magnetization_mub_per_atom": 0.0000,
  "crystal_system": "tetragonal",
  "e_above_lowest_polymorph_mev_per_atom": 89,
  "e_tot_ev_per_atom": -7.630,
  "spacegroup": "P4/nmm",
  "lattice_angstrom": [[4.203, 0.000, 0.000], [0.000, 4.203, 0.000], [0.000, 0.000, 8.609]],
  "species": ["La", "La", "Pa", "Pa", "Rh", "Rh"],
  "fractional_positions": [[0.250, 0.250, 0.150], [0.750, 0.750, 0.850], [0.250, 0.750, 0.500], [0.750, 0.250, 0.500], [0.250, 0.250, 0.750], [0.750, 0.750, 0.250]]
}


{
  "formula": "KY2Zn",
  "functional": "GGA-PBE",
  "state": "relaxed",
  "total_magnetization_mub_per_atom": 0.0786,
  "crystal_system": "orthorhombic",
  "e_tot_ev_per_atom": -3.560,
  "spacegroup": "Imm2",
  "lattice_angstrom": [[-1.788, 2.375, 8.789], [1.788, -2.375, 8.789], [1.788, 2.375, -8.789]],
  "species": ["K", "Y", "Y", "Zn"],
  "fractional_positions": [[0.000, 0.000, 0.000], [0.317, 0.817, 0.500], [0.677, 0.677, 0.000], [0.810, 0.310, 0.500]]
}


{
  "formula": "Ce3Co3Bi",
  "functional": "GGA-PBE",
  "state": "relaxed",
  "total_magnetization_mub_per_atom": 0.0284,
  "crystal_system": "hexagonal",
  "e_tot_ev_per_atom": -6.486,
  "spacegroup": "P6_3/m",
  "lattice_angstrom": [[9.244, 0.000, 0.000], [-4.622, 8.005, 0.000], [0.000, 0.000, 4.142]],
  "species": ["Ce", "Ce", "Ce", "Ce", "Ce", "Ce", "Co", "Co", "Co", "Co", "Co", "Co", "Bi", "Bi"],
  "fractional_positions": [[0.055, 0.687, 0.250], [0.313, 0.368, 0.250], [0.368, 0.055, 0.750], [0.632, 0.945, 0.250], [0.687, 0.632, 0.750], [0.945, 0.313, 0.750], [0.000, 0.157, 0.250], [0.000, 0.843, 0.750], [0.156, 0.000, 0.250], [0.157, 0.156, 0.750], [0.843, 0.844, 0.250], [0.844, 0.000, 0.750], [0.333, 0.667, 0.750], [0.667, 0.333, 0.250]]
}


{
  "formula": "MnGaBRuSe",
  "functional": "GGA-PBE",
  "state": "relaxed",
  "total_magnetization_mub_per_atom": 0.0001,
  "crystal_system": "orthorhombic",
  "e_form_raw_ev_per_atom": -0.161,
  "e_above_lowest_polymorph_mev_per_atom": 57,
  "e_tot_ev_per_atom": -6.487,
  "spacegroup": "Amm2",
  "lattice_angstrom": [[2.905, 0.000, 0.000], [0.000, 1.466, 7.852], [0.000, -1.466, 7.852]],
  "species": ["Mn", "Ga", "B", "Ru", "Se"],
  "fractional_positions": [[0.000, 0.000, 0.000], [0.500, 0.741, 0.741], [0.500, 0.902, 0.902], [0.000, 0.347, 0.347], [0.500, 0.577, 0.577]]
}


{
  "formula": "Dy3YS",
  "functional": "GGA-PBE",
  "state": "relaxed",
  "total_magnetization_mub_per_atom": 0.0001,
  "crystal_system": "cubic",
  "e_form_raw_ev_per_atom": -0.659,
  "e_tot_ev_per_atom": -5.539,
  "spacegroup": "Pm-3m",
  "lattice_angstrom": [[5.300, 0.000, 0.000], [0.000, 5.300, 0.000], [0.000, 0.000, 5.300]],
  "species": ["Dy", "Dy", "Dy", "Y", "S"],
  "fractional_positions": [[0.000, 0.000, 0.500], [0.000, 0.500, 0.000], [0.500, 0.000, 0.000], [0.500, 0.500, 0.500], [0.000, 0.000, 0.000]]
}


{
  "formula": "BeBi2SbO6",
  "functional": "GGA-PBE",
  "state": "relaxed",
  "total_magnetization_mub_per_atom": 0.0000,
  "crystal_system": "monoclinic",
  "e_form_raw_ev_per_atom": -1.263,
  "e_tot_ev_per_atom": -5.799,
  "spacegroup": "P2_1/c",
  "lattice_angstrom": [[5.516, 0.000, 0.000], [0.000, 5.936, 0.000], [-5.393, 0.000, 7.671]],
  "species": ["Be", "Be", "Bi", "Bi", "Bi", "Bi", "Sb", "Sb", "O", "O", "O", "O", "O", "O", "O", "O", "O", "O", "O", "O"],
  "fractional_positions": [[0.000, 0.000, 0.000], [0.000, 0.500, 0.500], [0.266, 0.057, 0.762], [0.266, 0.443, 0.262], [0.734, 0.557, 0.738], [0.734, 0.943, 0.238], [0.500, 0.000, 0.500], [0.500, 0.500, 0.000], [0.132, 0.033, 0.224], [0.132, 0.467, 0.724], [0.248, 0.711, 0.054], [0.248, 0.789, 0.554], [0.342, 0.183, 0.036], [0.342, 0.317, 0.536], [0.658, 0.683, 0.464], [0.658, 0.817, 0.964], [0.752, 0.211, 0.446], [0.752, 0.289, 0.946], [0.868, 0.533, 0.276], [0.868, 0.967, 0.776]]
}